[1]
PBE-GGA ScTaAs2Br, optimized geometry; energy above the most stable polymorph in this dataset = 576 meV/atom; M_tot = 2.2 Bohr magnetons per cell; SG = P4/mmm (123); uncorrected formation energy = 3.3 eV/f.u.; total energy = -25.833 eV per cell
1.0
5.0899 0.0000 0.0000
0.0000 5.0899 0.0000
0.0000 0.0000 4.9651
Sc Ta As Br
1 1 2 1
Cartesian
0.0000 0.0000 0.0000 Sc
2.5450 2.5450 2.4825 Ta
0.0000 2.5450 0.0000 As
2.5450 0.0000 0.0000 As
0.0000 0.0000 2.4825 Br



[2]
PBE-GGA ScTaAs2Br, optimized geometry; energy above the most stable polymorph in this dataset = 0 meV/atom; M_tot = 0.8 Bohr magnetons per cell; SG = P4/mmm (123); uncorrected formation energy = 0.4 eV/f.u.; total energy = -28.713 eV per cell
1.0
5.0197 0.0000 0.0000
0.0000 5.0197 0.0000
0.0000 0.0000 5.0621
Sc Ta As Br
1 1 2 1
Cartesian
0.0000 0.0000 0.0000 Sc
2.5098 2.5098 2.5311 Ta
0.0000 2.5098 2.5311 As
2.5098 0.0000 2.5311 As
2.5098 2.5098 0.0000 Br



[3]
PBE-GGA ScTcAsBr2, optimized geometry; energy above the most stable polymorph in this dataset = 6 meV/atom; M_tot = 0.5 Bohr magnetons per cell; SG = P4/mmm (123); uncorrected formation energy = 1.2 eV/f.u.; total energy = -23.470 eV per cell
1.0
5.1553 0.0000 0.0000
0.0000 5.1553 0.0000
0.0000 0.0000 4.7468
Sc Tc As Br
1 1 1 2
Cartesian
0.0000 0.0000 0.0000 Sc
2.5776 2.5776 2.3734 Tc
2.5776 2.5776 0.0000 As
0.0000 2.5776 2.3734 Br
2.5776 0.0000 2.3734 Br



[4]
PBE-GGA ScTcAsBr2, optimized geometry; energy above the most stable polymorph in this dataset = 0 meV/atom; M_tot = 4.9 Bohr magnetons per cell; SG = P4/mmm (123); uncorrected formation energy = 1.2 eV/f.u.; total energy = -23.500 eV per cell
1.0
5.0927 0.0000 0.0000
0.0000 5.0927 0.0000
0.0000 0.0000 5.5091
Sc Tc As Br
1 1 1 2
Cartesian
0.0000 0.0000 0.0000 Sc
2.5463 2.5463 2.7545 Tc
0.0000 0.0000 2.7545 As
0.0000 2.5463 0.0000 Br
2.5463 0.0000 0.0000 Br